Compound: Tb4Y2Er5
Source: Alexandria
Functional: PBE-GGA
Structure: optimized geometry

Computed properties:
ΔE to the lowest computed polymorph   110 meV/atom
Volume   32.168 Å³/atom
Spin magnetization   0.00 μB per formula unit

a b c (Å): 6.6160 8.8460 10.1664
angles (deg): 39.99 71.01 68.04
Positions (direct):
Tb 0.4120 0.7734 0.4025
Tb 0.5880 0.2266 0.5975
Tb 0.7547 0.6764 0.8142
Tb 0.2453 0.3236 0.1858
Y 0.2005 0.9012 0.6978
Y 0.7995 0.0988 0.3022
Er 0.1726 0.2736 0.9022
Er 0.8274 0.7264 0.0978
Er 0.0000 0.5000 0.5000
Er 0.6516 0.2736 0.9022
Er 0.3484 0.7264 0.0978

Compound: Tb4YEr3
Source: Alexandria
Functional: PBE-GGA
Structure: optimized geometry

Computed properties:
ΔE to the lowest computed polymorph   205 meV/atom
Volume   32.385 Å³/atom
Spin magnetization   0.00 μB per formula unit

a b c (Å): 5.6127 3.5708 13.2282
angles (deg): 90.01 102.25 90.00
Positions (direct):
Y 0.5000 0.0000 0.0000
Tb 0.6039 0.5001 0.2079
Tb 0.3961 0.4999 0.7921
Tb 0.2765 0.4993 0.5530
Tb 0.7235 0.5007 0.4470
Er 0.0000 0.5000 0.0000
Er 0.8459 0.9996 0.6919
Er 0.1541 0.0004 0.3081

Compound: Tb3Y2Er5
Source: Alexandria
Functional: PBE-GGA
Structure: optimized geometry

Computed properties:
ΔE to the lowest computed polymorph   152 meV/atom
Volume   33.620 Å³/atom
Spin magnetization   0.00 μB per formula unit

a b c (Å): 6.2257 11.0501 11.0501
angles (deg): 100.14 73.64 73.64
Positions (direct):
Tb 0.2500 0.0000 0.0000
Tb 0.7500 0.0000 0.0000
Tb 0.3406 0.4102 0.9086
Tb 0.6594 0.5898 0.0914
Tb 0.8406 0.9086 0.4102
Tb 0.1594 0.0914 0.5898
Y 0.0997 0.7435 0.0572
Y 0.9003 0.2565 0.9428
Y 0.5997 0.0572 0.7435
Y 0.4003 0.9428 0.2565
Er 0.2500 0.5000 0.5000
Er 0.7500 0.5000 0.5000
Er 0.5014 0.7486 0.7486
Er 0.9986 0.2514 0.2514
Er 0.4986 0.2514 0.2514
Er 0.0014 0.7486 0.7486
Er 0.0992 0.5564 0.2452
Er 0.9008 0.4436 0.7548
Er 0.5992 0.2452 0.5564
Er 0.4008 0.7548 0.4436

Compound: Tb12YEr2
Source: Alexandria
Functional: PBE-GGA
Structure: optimized geometry

Computed properties:
Volume   32.167 Å³/atom
Spin magnetization   0.00 μB per formula unit

a b c (Å): 6.7546 6.7546 23.4313
angles (deg): 87.61 92.39 64.88
Positions (direct):
Tb 0.7006 0.2992 0.8068
Tb 0.2008 0.7994 0.8068
Tb 0.7133 0.7867 0.8526
Tb 0.4823 0.5177 0.9336
Tb 0.0803 0.9198 0.3215
Tb 0.0177 0.9823 0.0664
Tb 0.6394 0.3601 0.5579
Tb 0.5802 0.4197 0.3215
Tb 0.2131 0.2869 0.8526
Tb 0.7867 0.7133 0.1474
Tb 0.1443 0.3557 0.5752
Tb 0.8606 0.1399 0.4421
Tb 0.9198 0.0803 0.6785
Tb 0.3557 0.1443 0.4248
Tb 0.2869 0.2131 0.1474
Tb 0.8551 0.6449 0.4247
Tb 0.6449 0.8551 0.5753
Tb 0.7994 0.2008 0.1932
Tb 0.1399 0.8606 0.5579
Tb 0.4197 0.5802 0.6785
Tb 0.9823 0.0177 0.9336
Tb 0.2992 0.7006 0.1932
Tb 0.3601 0.6394 0.4421
Tb 0.5177 0.4823 0.0664
Y 0.5000 0.0000 0.9999
Y 0.0000 0.5000 0.0001
Er 0.5707 0.9293 0.2850
Er 0.0706 0.4294 0.2851
Er 0.9293 0.5707 0.7150
Er 0.4294 0.0706 0.7149

Compound: Tb5Y12Er2
Source: Alexandria
Functional: PBE-GGA
Structure: optimized geometry

Computed properties:
ΔE to the lowest computed polymorph   101 meV/atom
Volume   32.765 Å³/atom
Spin magnetization   0.00 μB per formula unit

a b c (Å): 9.3176 9.0424 8.6262
angles (deg): 91.67 90.00 121.01
Positions (direct):
Tb 0.2301 0.4601 0.5714
Tb 0.2952 0.5904 0.9791
Tb 0.0000 0.0000 0.5000
Tb 0.7048 0.4096 0.0209
Tb 0.7699 0.5399 0.4286
Y 0.9255 0.8509 0.1273
Y 0.0305 0.7016 0.7628
Y 0.6712 0.7016 0.7628
Y 0.1792 0.7414 0.3316
Y 0.5622 0.7414 0.3316
Y 0.4424 0.8848 0.6660
Y 0.5576 0.1152 0.3340
Y 0.8208 0.2586 0.6684
Y 0.4378 0.2586 0.6684
Y 0.9695 0.2984 0.2372
Y 0.3288 0.2984 0.2372
Y 0.0745 0.1491 0.8727
Er 0.6717 0.0000 0.0000
Er 0.3283 0.0000 0.0000

Compound: Tb6Y5Er
Source: Alexandria
Functional: PBE-GGA
Structure: optimized geometry

Computed properties:
Volume   31.879 Å³/atom
Spin magnetization   0.00 μB per formula unit

a b c (Å): 11.7893 6.1715 6.1663
angles (deg): 59.97 85.02 80.01
Positions (direct):
Tb 0.7506 0.0831 0.3324
Tb 0.2494 0.5845 0.3324
Tb 0.2493 0.2494 0.0000
Tb 0.7507 0.7506 0.0000
Tb 0.7506 0.4155 0.6676
Tb 0.2494 0.9169 0.6676
Y 0.5000 0.1666 0.6667
Y 0.0000 0.3333 0.3333
Y 0.5000 0.5000 0.0000
Y 0.0000 0.6667 0.6667
Y 0.5000 0.8334 0.3333
Er 0.0000 0.0000 0.0000

Compound: Tb15YEr4
Source: Alexandria
Functional: PBE-GGA
Structure: optimized geometry

Computed properties:
Volume   31.672 Å³/atom
Spin magnetization   0.00 μB per formula unit

a b c (Å): 5.0236 5.0236 25.1005
angles (deg): 90.00 90.00 90.00
Positions (direct):
Tb 0.5000 0.5000 0.0000
Tb 0.5000 0.5000 0.2006
Tb 0.5000 0.5000 0.4001
Tb 0.5000 0.5000 0.5999
Tb 0.5000 0.5000 0.7994
Tb 0.5000 0.0000 0.1008
Tb 0.5000 0.0000 0.3003
Tb 0.5000 0.0000 0.5000
Tb 0.5000 0.0000 0.6997
Tb 0.5000 0.0000 0.8992
Tb 0.0000 0.5000 0.1008
Tb 0.0000 0.5000 0.3003
Tb 0.0000 0.5000 0.5000
Tb 0.0000 0.5000 0.6997
Tb 0.0000 0.5000 0.8992
Y 0.0000 0.0000 0.0000
Er 0.0000 0.0000 0.2005
Er 0.0000 0.0000 0.4002
Er 0.0000 0.0000 0.5998
Er 0.0000 0.0000 0.7995

Compound: Tb2Y7Er3
Source: Alexandria
Functional: PBE-GGA
Structure: optimized geometry

Computed properties:
ΔE to the lowest computed polymorph   10 meV/atom
Volume   32.041 Å³/atom
Spin magnetization   0.00 μB per formula unit

a b c (Å): 3.5809 5.7743 18.6324
angles (deg): 93.66 90.00 90.00
Positions (direct):
Tb 0.5000 0.7051 0.2952
Tb 0.5000 0.2949 0.7048
Y 0.5000 0.7419 0.4631
Y 0.5000 0.2581 0.5369
Y 0.0000 0.6790 0.1434
Y 0.0000 0.0000 0.0000
Y 0.0000 0.3210 0.8566
Y 0.5000 0.8170 0.8197
Y 0.5000 0.1830 0.1803
Er 0.5000 0.5000 0.0000
Er 0.0000 0.2192 0.3676
Er 0.0000 0.7808 0.6324

Compound: Tb7YEr3
Source: Alexandria
Functional: PBE-GGA
Structure: optimized geometry

Computed properties:
ΔE to the lowest computed polymorph   124 meV/atom
Volume   32.709 Å³/atom
Spin magnetization   0.35 μB per formula unit

a b c (Å): 5.7808 8.4050 8.4050
angles (deg): 82.92 110.17 110.17
Positions (direct):
Tb 0.2085 0.2071 0.2071
Tb 0.3016 0.0049 0.5988
Tb 0.6984 0.4012 0.9951
Tb 0.3016 0.5988 0.0049
Tb 0.0000 0.5000 0.5000
Tb 0.6984 0.9951 0.4012
Tb 0.7915 0.7929 0.7929
Y 0.5000 0.5000 0.5000
Er 0.0000 0.7943 0.2057
Er 0.5000 0.0000 0.0000
Er 0.0000 0.2057 0.7943

Compound: Tb2Y2Er
Source: Alexandria
Functional: PBE-GGA
Structure: optimized geometry

Computed properties:
ΔE to the lowest computed polymorph   89 meV/atom
Volume   32.151 Å³/atom
Spin magnetization   0.00 μB per formula unit

a b c (Å): 9.2520 9.2520 3.7560
angles (deg): 90.00 90.00 90.00
Positions (direct):
Tb 0.1286 0.6286 0.0000
Tb 0.6286 0.8714 0.0000
Tb 0.8714 0.3714 0.0000
Tb 0.3714 0.1286 0.0000
Y 0.3297 0.8297 0.5000
Y 0.8297 0.6703 0.5000
Y 0.6703 0.1703 0.5000
Y 0.1703 0.3297 0.5000
Er 0.0000 0.0000 0.0000
Er 0.5000 0.5000 0.0000

Compound: Tb2YEr
Source: Alexandria
Functional: PBE-GGA
Structure: optimized geometry

Computed properties:
ΔE to the lowest computed polymorph   14 meV/atom
Volume   31.659 Å³/atom
Spin magnetization   0.00 μB per formula unit

a b c (Å): 5.0158 5.0247 5.0247
angles (deg): 90.00 90.00 90.00
Positions (direct):
Y 0.5000 0.0000 0.0000
Tb 0.0000 0.0000 0.5000
Tb 0.0000 0.5000 0.0000
Er 0.5000 0.5000 0.5000

Compound: Tb5Y8Er
Source: Alexandria
Functional: PBE-GGA
Structure: optimized geometry

Computed properties:
Volume   33.124 Å³/atom
Spin magnetization   0.00 μB per formula unit

a b c (Å): 8.4508 8.4508 8.4508
angles (deg): 110.91 106.63 110.91
Positions (direct):
Tb 0.0337 0.3220 0.1372
Tb 0.8628 0.8965 0.1848
Tb 0.8152 0.6780 0.7117
Tb 0.5000 0.0000 0.5000
Tb 0.2883 0.1035 0.9663
Y 0.1678 0.7399 0.0774
Y 0.9226 0.0903 0.6624
Y 0.7284 0.2517 0.3341
Y 0.6659 0.3943 0.9175
Y 0.5233 0.6057 0.2716
Y 0.5721 0.9097 0.8322
Y 0.3376 0.2601 0.4279
Y 0.0825 0.7483 0.4767
Er 0.2500 0.5000 0.7500

Compound: TbY2Er5
Source: Alexandria
Functional: PBE-GGA
Structure: optimized geometry

Computed properties:
ΔE to the lowest computed polymorph   116 meV/atom
Volume   32.221 Å³/atom
Spin magnetization   0.00 μB per formula unit

a b c (Å): 5.6012 8.5660 11.3718
angles (deg): 90.02 90.00 109.11
Positions (direct):
Tb 0.7732 0.5464 0.7499
Tb 0.2268 0.4536 0.2501
Y 0.7878 0.5757 0.4189
Y 0.7877 0.5755 0.0812
Y 0.2122 0.4243 0.5811
Y 0.2123 0.4245 0.9188
Er 0.9557 0.9111 0.8879
Er 0.9561 0.9119 0.6124
Er 0.4128 0.8258 0.4221
Er 0.4130 0.8260 0.0783
Er 0.6044 0.2089 0.2500
Er 0.3956 0.7911 0.7500
Er 0.5872 0.1742 0.5779
Er 0.5870 0.1740 0.9217
Er 0.0443 0.0889 0.1121
Er 0.0439 0.0881 0.3876

Compound: TbY2Er9
Source: Alexandria
Functional: PBE-GGA
Structure: optimized geometry

Computed properties:
ΔE to the lowest computed polymorph   0 meV/atom
Volume   30.921 Å³/atom
Spin magnetization   0.00 μB per formula unit

a b c (Å): 4.9822 4.9822 14.9482
angles (deg): 90.00 90.00 90.00
Positions (direct):
Tb 0.0000 0.0000 0.0000
Y 0.0000 0.0000 0.3332
Y 0.0000 0.0000 0.6668
Er 0.5000 0.5000 0.0000
Er 0.5000 0.5000 0.3333
Er 0.5000 0.5000 0.6667
Er 0.5000 0.0000 0.1662
Er 0.5000 0.0000 0.5000
Er 0.5000 0.0000 0.8338
Er 0.0000 0.5000 0.1662
Er 0.0000 0.5000 0.5000
Er 0.0000 0.5000 0.8338

Compound: TbYEr2
Source: Alexandria
Functional: PBE-GGA
Structure: optimized geometry

Computed properties:
ΔE to the lowest computed polymorph   128 meV/atom
Volume   31.878 Å³/atom
Spin magnetization   0.01 μB per formula unit

a b c (Å): 5.6497 5.6497 5.6497
angles (deg): 60.00 60.00 60.00
Positions (direct):
Y 0.0000 0.0000 0.0000
Tb 0.5000 0.5000 0.5000
Er 0.2500 0.2500 0.2500
Er 0.7500 0.7500 0.7500

Compound: Tb4Y3Er
Source: Alexandria
Functional: PBE-GGA
Structure: optimized geometry

Computed properties:
ΔE to the lowest computed polymorph   0 meV/atom
Volume   32.359 Å³/atom
Spin magnetization   0.01 μB per formula unit

a b c (Å): 6.2984 7.2849 11.2841
angles (deg): 90.00 90.00 90.00
Positions (direct):
Tb 0.1502 0.8755 0.0000
Tb 0.6488 0.1246 0.0000
Tb 0.9804 0.1249 0.2489
Tb 0.4804 0.8751 0.2511
Tb 0.1488 0.8754 0.5000
Tb 0.6502 0.1245 0.5000
Tb 0.4804 0.8751 0.7489
Tb 0.9804 0.1249 0.7511
Y 0.6460 0.6248 0.0000
Y 0.9815 0.6251 0.2497
Y 0.4815 0.3749 0.2503
Y 0.1460 0.3752 0.5000
Y 0.4815 0.3749 0.7497
Y 0.9815 0.6251 0.7503
Er 0.1464 0.3743 0.0000
Er 0.6464 0.6257 0.5000

Compound: TbY3Er8
Source: Alexandria
Functional: PBE-GGA
Structure: optimized geometry

Computed properties:
Volume   37.350 Å³/atom
Spin magnetization   0.00 μB per formula unit

a b c (Å): 7.6482 7.6482 9.3786
angles (deg): 114.06 114.06 90.00
Positions (direct):
Tb 0.0000 0.0000 0.0000
Y 0.2500 0.7500 0.5000
Y 0.5000 0.5000 0.0000
Y 0.7500 0.2500 0.5000
Er 0.8753 0.3736 0.2489
Er 0.3736 0.3736 0.2489
Er 0.1247 0.1247 0.7511
Er 0.6264 0.1247 0.7511
Er 0.3736 0.8753 0.2489
Er 0.8753 0.8753 0.2489
Er 0.6264 0.6264 0.7511
Er 0.1247 0.6264 0.7511

Compound: Tb3Y4Er8
Source: Alexandria
Functional: PBE-GGA
Structure: optimized geometry

Computed properties:
ΔE to the lowest computed polymorph   266 meV/atom
Volume   32.802 Å³/atom
Spin magnetization   0.01 μB per formula unit

a b c (Å): 6.7064 9.2165 9.2165
angles (deg): 87.72 111.26 111.26
Positions (direct):
Tb 0.5000 0.5000 0.0000
Tb 0.5000 0.0000 0.5000
Tb 0.5000 0.5000 0.5000
Y 0.5000 0.0000 0.0000
Y 0.0000 0.5000 0.0000
Y 0.0000 0.0000 0.0000
Y 0.0000 0.0000 0.5000
Er 0.5354 0.2696 0.2696
Er 0.0000 0.6392 0.3608
Er 0.0123 0.2683 0.2683
Er 0.5000 0.7459 0.2541
Er 0.5000 0.2541 0.7459
Er 0.9877 0.7317 0.7317
Er 0.0000 0.3608 0.6392
Er 0.4646 0.7304 0.7304

Compound: Tb3YEr
Source: Alexandria
Functional: PBE-GGA
Structure: optimized geometry

Computed properties:
ΔE to the lowest computed polymorph   0 meV/atom
Volume   32.202 Å³/atom
Spin magnetization   0.00 μB per formula unit

a b c (Å): 9.6123 5.6363 6.2910
angles (deg): 90.00 70.87 90.00
Positions (direct):
Tb 0.2982 0.9500 0.4307
Tb 0.9003 0.4500 0.9667
Tb 0.4998 0.4500 0.1659
Tb 0.5002 0.9500 0.8341
Tb 0.0997 0.9500 0.0333
Tb 0.7018 0.4500 0.5693
Y 0.7000 0.9501 0.2352
Y 0.3000 0.4501 0.7648
Er 0.0983 0.4499 0.3663
Er 0.9017 0.9499 0.6337

no.,energy of formation (kJ/mol of atoms)
1,16.4
2,20.4
3,34.3
4,7.0
5,11.7
6,1.8
7,1.7
8,8.8
9,25.2
10,9.3
11,2.2
12,24.0
13,13.3
14,2.4
15,13.3
16,0.6
17,72.9
18,38.7
19,0.6